This record from Alexandria via LeMat-Bulk describes a geometry-optimized Os2Ru structure. The functional is PBE.

Values from the calculation:
- Uncorrected energy: -29.97 eV/f.u.
- ΔE to the lowest computed polymorph: 607 meV/atom
- ΔH_f (0 K): 0.589 eV per atom

CIF file:
```
data_Os2Ru
_chemical_formula_sum 'Os8 Ru4'
_cell_length_a 5.1264
_cell_length_b 5.1264
_cell_length_c 8.1041
_cell_angle_alpha 90.00
_cell_angle_beta 90.00
_cell_angle_gamma 120.00
_symmetry_space_group_name_H-M 'P 63/m m c'
_symmetry_Int_Tables_number 194
_symmetry_space_group_name_Hall '-P 6c 2c'
loop_
_atom_site_label
_atom_site_fract_x
_atom_site_fract_y
_atom_site_fract_z
Os1 0.0000 0.0000 0.0000
Os2 0.1742 0.3485 0.2500
Ru1 0.3333 0.6667 0.5878
```

---

This record from Alexandria via LeMat-Bulk describes a geometry-optimized BiAsIN2 structure. The functional is PBE.

Values from the calculation:
- Uncorrected energy: -19.44 eV/f.u.
- ΔE to the lowest computed polymorph: 0 meV/atom
- Energy relative to the elements, uncorrected: 1459 meV per atom

CIF file:
```
data_BiAsIN2
_chemical_formula_sum 'Bi1 As1 I1 N2'
_cell_length_a 4.212
_cell_length_b 4.212
_cell_length_c 5.946
_cell_angle_alpha 90.00
_cell_angle_beta 90.00
_cell_angle_gamma 90.00
_symmetry_space_group_name_H-M 'P 4/m m m'
_symmetry_Int_Tables_number 123
_symmetry_space_group_name_Hall '-P 4 2'
loop_
_atom_site_label
_atom_site_fract_x
_atom_site_fract_y
_atom_site_fract_z
Bi1 0.000 0.000 0.000
As1 0.000 0.000 0.500
I1 0.500 0.500 0.000
N1 0.000 0.500 0.500
```

---

This record from Alexandria via LeMat-Bulk describes a geometry-optimized RbTiS2 structure. The functional is PBE.

Values from the calculation:
- Uncorrected energy: -22.08 eV/f.u.
- Energy relative to the elements, uncorrected: -1240 meV per atom

CIF file:
```
data_RbTiS2
_chemical_formula_sum 'Rb2 Ti2 S4'
_cell_length_a 6.814
_cell_length_b 4.243
_cell_length_c 8.919
_cell_angle_alpha 90.00
_cell_angle_beta 104.52
_cell_angle_gamma 90.00
_symmetry_space_group_name_H-M 'P 1 21/m 1'
_symmetry_Int_Tables_number 11
loop_
_symmetry_equiv_pos_as_xyz
'x,y,z'
'-x,-y,-z'
'-x,y+1/2,-z'
'x,-y+1/2,z'
loop_
_atom_site_label
_atom_site_fract_x
_atom_site_fract_y
_atom_site_fract_z
Rb1 0.205 0.250 0.359
Ti1 0.367 0.750 0.904
S1 0.274 0.250 0.988
S2 0.302 0.750 0.649
```

---

This record from Alexandria via LeMat-Bulk describes a geometry-optimized RbLi2CdSi structure. The functional is PBE.

Values from the calculation:
- Uncorrected energy: -11.14 eV/f.u.
- Energy relative to the elements, uncorrected: -1 meV per atom

CIF file:
```
data_RbLi2CdSi
_chemical_formula_sum 'Rb1 Li2 Cd1 Si1'
_cell_length_a 5.196
_cell_length_b 5.196
_cell_length_c 5.203
_cell_angle_alpha 90.00
_cell_angle_beta 90.00
_cell_angle_gamma 90.00
_symmetry_space_group_name_H-M 'P 4/m m m'
_symmetry_Int_Tables_number 123
_symmetry_space_group_name_Hall '-P 4 2'
loop_
_atom_site_label
_atom_site_fract_x
_atom_site_fract_y
_atom_site_fract_z
Rb1 0.000 0.000 0.000
Li1 0.000 0.500 0.500
Cd1 0.500 0.500 0.000
Si1 0.500 0.500 0.500
```

---

no.,DOS(E_F) (states/eV per atom)
1,1.3214
2,0.5672
3,0.0951
4,0.3397